Entry 1:
2
Lattice="3.4855 0.4760 0.5496 1.1048 3.7482 0.4375 1.0956 -0.0718 3.7766" Properties=species:S:1:pos:R:3 comment="VBr, optimized geometry, DFT PBE" e_form_raw_ev_per_atom=0.353 m_tot_mub_per_cell=3.992 pbc="T T T"
Br 2.3534 2.9120 1.3056
V 1.4844 0.9076 2.8641

---

Entry 2:
3
Lattice="-2.9717 1.9159 -1.4937 -0.1597 -1.2719 3.6180 2.6835 5.8610 2.1789" Properties=species:S:1:pos:R:3 comment="VBr2, optimized geometry, DFT PBE" e_form_raw_ev_per_atom=-0.805 m_tot_mub_per_cell=3.000 pbc="T T T"
V 0.0000 0.0000 0.0000
Br -0.5268 1.0362 2.3771
Br 0.0789 5.4688 1.9260

---

Entry 3:
12
Lattice="3.3428 0.0000 0.0000 0.0000 11.6579 0.0000 0.0000 0.0000 6.9547" Properties=species:S:1:pos:R:3 comment="VBr, optimized geometry, DFT PBE" e_form_raw_ev_per_atom=0.044 m_tot_mub_per_cell=7.526 pbc="T T T"
Br 1.6714 0.0000 1.2908
V 1.6714 1.8876 3.0607
Br 0.0000 9.5661 5.0661
V 1.6714 7.7166 6.5381
Br 0.0000 3.7372 1.5888
V 1.6714 3.9413 6.5381
V 0.0000 0.0000 3.3057
Br 0.0000 7.9208 1.5888
V 0.0000 5.8290 6.7830
Br 0.0000 2.0918 5.0661
V 1.6714 9.7703 3.0607
Br 1.6714 5.8290 4.7682